# KBa3Sb2O9 (PBE, relaxed)
# * crystal system: trigonal
# * D(E_F): 0.689 states/eV per atom
# * formation energy without anion corrections: -187.35 kJ/mol of atoms
# * total energy: -88.9 eV for the cell shown
# * magnetization: 1.0 μB per cell
data_KBa3Sb2O9
_chemical_formula_sum 'K1 Ba3 Sb2 O9'
_space_group_name_H-M_alt 'P -3 m 1'
_space_group_IT_number 164
_space_group_name_Hall '-P 3 2"'
_cell_length_a 6.0083
_cell_length_b 6.0083
_cell_length_c 7.8641
_cell_angle_alpha 90.00
_cell_angle_beta 90.00
_cell_angle_gamma 120.00
loop_
_atom_site_label
_atom_site_fract_x
_atom_site_fract_y
_atom_site_fract_z
K1 0.0000 0.0000 0.0000
Ba1 0.0000 0.0000 0.5000
Ba2 0.3333 0.6667 0.1778
Sb1 0.3333 0.6667 0.6554
O1 0.0000 0.5000 0.5000
O2 0.1766 0.3532 0.7902

---

# ScRe3W (PBE, relaxed)
# * crystal system: cubic
# * D(E_F): 1.055 states/eV per atom
# * energy above the most stable polymorph in this dataset: 0.000 eV/atom
# * total energy: -48.4 eV for the cell shown
# * magnetization: 0.0 μB per cell
# * E_form: 1.645 eV/atom
data_ScRe3W
_chemical_formula_sum 'Sc1 Re3 W1'
_space_group_name_H-M_alt 'P m -3 m'
_space_group_IT_number 221
_space_group_name_Hall '-P 4 2 3'
_cell_length_a 4.7349
_cell_length_b 4.7349
_cell_length_c 4.7349
_cell_angle_alpha 90.00
_cell_angle_beta 90.00
_cell_angle_gamma 90.00
loop_
_atom_site_label
_atom_site_fract_x
_atom_site_fract_y
_atom_site_fract_z
Sc1 0.0000 0.0000 0.0000
Re1 0.0000 0.5000 0.5000
W1 0.5000 0.5000 0.5000

---

# PmYEr5Sc2 (PBE, relaxed)
# * crystal system: orthorhombic
# * D(E_F): 1.506 states/eV per atom
# * total energy: -180.5 eV for the cell shown
# * magnetization: 0.0 μB per cell
# * E_form: 0.174 eV/atom
data_PmYEr5Sc2
_chemical_formula_sum 'Pm4 Y4 Er20 Sc8'
_space_group_name_H-M_alt 'C m c 21'
_space_group_IT_number 36
_cell_length_a 5.5590
_cell_length_b 21.4647
_cell_length_c 9.2577
_cell_angle_alpha 90.00
_cell_angle_beta 90.00
_cell_angle_gamma 90.00
loop_
_space_group_symop_operation_xyz
'x,y,z'
'-x,-y,z+1/2'
'-x,y,z'
'x,-y,z+1/2'
'x+1/2,y+1/2,z'
'-x+1/2,-y+1/2,z+1/2'
'-x+1/2,y+1/2,z'
'x+1/2,-y+1/2,z+1/2'
loop_
_atom_site_label
_atom_site_fract_x
_atom_site_fract_y
_atom_site_fract_z
Pm1 0.0000 0.1857 0.0000
Y1 0.0000 0.4034 0.4013
Er1 0.0000 0.0074 0.0031
Er2 0.0000 0.2647 0.3179
Er3 0.0000 0.3083 0.7035
Er4 0.0000 0.3924 0.0289
Er5 0.0000 0.4682 0.7318
Sc1 0.0000 0.1131 0.3061
Sc2 0.0000 0.1418 0.6758

---

# Pm3NpU2N6 (PBE, relaxed)
# * crystal system: monoclinic
# * D(E_F): 1.172 states/eV per atom
# * formation energy without anion corrections: -133.61 kJ/mol of atoms
# * total energy: -232.7 eV for the cell shown
# * magnetization: 10.6 μB per cell
data_Pm3NpU2N6
_chemical_formula_sum 'Pm6 Np2 U4 N12'
_space_group_name_H-M_alt 'C 1 2/m 1'
_space_group_IT_number 12
_cell_length_a 6.0674
_cell_length_b 10.5098
_cell_length_c 6.1318
_cell_angle_alpha 90.00
_cell_angle_beta 109.24
_cell_angle_gamma 90.00
loop_
_space_group_symop_operation_xyz
'x,y,z'
'-x,-y,-z'
'-x,y,-z'
'x,-y,z'
'x+1/2,y+1/2,z'
'-x+1/2,-y+1/2,-z'
'-x+1/2,y+1/2,-z'
'x+1/2,-y+1/2,z'
loop_
_atom_site_label
_atom_site_fract_x
_atom_site_fract_y
_atom_site_fract_z
Pm1 0.0000 0.0000 0.0000
Pm2 0.0000 0.3341 0.0000
Np1 0.0000 0.5000 0.5000
U1 0.0000 0.1668 0.5000
N1 0.2305 0.0000 0.7162
N2 0.2433 0.3292 0.7170

---

# KLa2Fe (PBE, relaxed)
# * crystal system: monoclinic
# * D(E_F): 0.773 states/eV per atom
# * energy above the most stable polymorph in this dataset: 0.014 eV/atom
# * total energy: -37.4 eV for the cell shown
# * magnetization: 0.0 μB per cell
# * E_form: 0.173 eV/atom
data_KLa2Fe
_chemical_formula_sum 'K2 La4 Fe2'
_space_group_name_H-M_alt 'C 1 2/m 1'
_space_group_IT_number 12
_cell_length_a 7.0802
_cell_length_b 4.0803
_cell_length_c 10.7271
_cell_angle_alpha 90.00
_cell_angle_beta 102.23
_cell_angle_gamma 90.00
loop_
_space_group_symop_operation_xyz
'x,y,z'
'-x,-y,-z'
'-x,y,-z'
'x,-y,z'
'x+1/2,y+1/2,z'
'-x+1/2,-y+1/2,-z'
'-x+1/2,y+1/2,-z'
'x+1/2,-y+1/2,z'
loop_
_atom_site_label
_atom_site_fract_x
_atom_site_fract_y
_atom_site_fract_z
K1 0.0000 0.0000 0.0000
La1 0.2108 0.0000 0.6376
Fe1 0.0000 0.5000 0.5000

---

# Y4NiAg (PBE, relaxed)
# * crystal system: cubic
# * D(E_F): 0.982 states/eV per atom
# * energy above the most stable polymorph in this dataset: 0.000 eV/atom
# * total energy: -578.9 eV for the cell shown
# * magnetization: 0.0 μB per cell
# * E_form: -0.283 eV/atom
data_Y4NiAg
_chemical_formula_sum 'Y64 Ni16 Ag16'
_space_group_name_H-M_alt 'F -4 3 m'
_space_group_IT_number 216
_space_group_name_Hall 'F -4 2 3'
_cell_length_a 13.4331
_cell_length_b 13.4331
_cell_length_c 13.4331
_cell_angle_alpha 90.00
_cell_angle_beta 90.00
_cell_angle_gamma 90.00
loop_
_atom_site_label
_atom_site_fract_x
_atom_site_fract_y
_atom_site_fract_z
Y1 0.0000 0.0000 0.1858
Y2 0.0612 0.2500 0.2500
Y3 0.1010 0.1010 0.6010
Ni1 0.1068 0.1068 0.3932
Ag1 0.1683 0.1683 0.8317

---

# Tb6SmDy2Y (PBE, relaxed)
# * crystal system: monoclinic
# * D(E_F): 1.409 states/eV per atom
# * total energy: -188.0 eV for the cell shown
# * magnetization: 0.0 μB per cell
# * E_form: 0.116 eV/atom
data_Tb6SmDy2Y
_chemical_formula_sum 'Tb24 Sm4 Dy8 Y4'
_space_group_name_H-M_alt 'C 1 2/c 1'
_space_group_IT_number 15
_cell_length_a 9.0619
_cell_length_b 15.1051
_cell_length_c 9.6030
_cell_angle_alpha 90.00
_cell_angle_beta 97.69
_cell_angle_gamma 90.00
loop_
_space_group_symop_operation_xyz
'x,y,z'
'-x,-y,-z'
'-x,y,-z+1/2'
'x,-y,z+1/2'
'x+1/2,y+1/2,z'
'-x+1/2,-y+1/2,-z'
'-x+1/2,y+1/2,-z+1/2'
'x+1/2,-y+1/2,z+1/2'
loop_
_atom_site_label
_atom_site_fract_x
_atom_site_fract_y
_atom_site_fract_z
Tb1 0.0638 0.1854 0.4441
Tb2 0.1010 0.3925 0.6205
Tb3 0.2064 0.2259 0.8170
Sm1 0.0000 0.0243 0.7500
Dy1 0.2499 0.0519 0.0443
Y1 0.0000 0.4085 0.2500

---

# V3As (PBE, relaxed)
# * crystal system: monoclinic
# * D(E_F): 0.657 states/eV per atom
# * energy above the most stable polymorph in this dataset: 0.153 eV/atom
# * total energy: -66.4 eV for the cell shown
# * magnetization: 0.0 μB per cell
# * E_form: -0.299 eV/atom
data_V3As
_chemical_formula_sum 'V6 As2'
_space_group_name_H-M_alt 'P 1 21/m 1'
_space_group_IT_number 11
_cell_length_a 6.0337
_cell_length_b 3.2090
_cell_length_c 6.3144
_cell_angle_alpha 90.00
_cell_angle_beta 113.53
_cell_angle_gamma 90.00
loop_
_space_group_symop_operation_xyz
'x,y,z'
'-x,-y,-z'
'-x,y+1/2,-z'
'x,-y+1/2,z'
loop_
_atom_site_label
_atom_site_fract_x
_atom_site_fract_y
_atom_site_fract_z
V1 0.0596 0.2500 0.3527
V2 0.3047 0.2500 0.8721
V3 0.4039 0.7500 0.6075
As1 0.2617 0.7500 0.1596

---

# CsPuAgF6 (PBE, relaxed)
# * crystal system: monoclinic
# * formation energy without anion corrections: -271.76 kJ/mol of atoms
# * total energy: -109.2 eV for the cell shown
# * magnetization: 8.0 μB per cell
data_CsPuAgF6
_chemical_formula_sum 'Cs2 Pu2 Ag2 F12'
_space_group_name_H-M_alt 'C 1 2 1'
_space_group_IT_number 5
_cell_length_a 6.2800
_cell_length_b 11.0288
_cell_length_c 6.2389
_cell_angle_alpha 90.00
_cell_angle_beta 90.38
_cell_angle_gamma 90.00
loop_
_space_group_symop_operation_xyz
'x,y,z'
'-x,y,-z'
'x+1/2,y+1/2,z'
'-x+1/2,y+1/2,-z'
loop_
_atom_site_label
_atom_site_fract_x
_atom_site_fract_y
_atom_site_fract_z
Cs1 0.0000 0.0000 0.0000
Pu1 0.0000 0.6668 0.5000
Ag1 0.0000 0.3355 0.5000
F1 0.1253 0.5219 0.3030
F2 0.1519 0.8035 0.3039
F3 0.2126 0.1751 0.3072

---

# PuAg2Sb (PBE, relaxed)
# * crystal system: trigonal
# * D(E_F): 2.101 states/eV per atom
# * formation energy without anion corrections: 33.16 kJ/mol of atoms
# * total energy: -68.3 eV for the cell shown
# * magnetization: 17.2 μB per cell
data_PuAg2Sb
_chemical_formula_sum 'Pu3 Ag6 Sb3'
_space_group_name_H-M_alt 'R -3 m'
_space_group_IT_number 166
_space_group_name_Hall '-R 3 2"'
_cell_length_a 3.1000
_cell_length_b 3.1000
_cell_length_c 33.9351
_cell_angle_alpha 90.00
_cell_angle_beta 90.00
_cell_angle_gamma 120.00
loop_
_atom_site_label
_atom_site_fract_x
_atom_site_fract_y
_atom_site_fract_z
Pu1 0.0000 0.0000 0.0000
Ag1 0.0000 0.0000 0.0893
Sb1 0.0000 0.0000 0.5000

---

Look up the magnetization of the fifth one.
0.0 μB per cell

---

Number 3 is which compound?
PmYEr5Sc2